Na3Y2TlO6: relaxed, PBE.

Cell: 5.917 10.241 5.969 Å, 90.00 109.31 90.00°
Space group C2/m (No. 12)
Inequivalent atoms, fractional coordinates:
Na  0.000  0.000  0.000 (multiplicity 2)
Na  0.000  0.339  0.000 (multiplicity 4)
Y  0.000  0.167  0.500 (multiplicity 4)
Tl  0.000  0.500  0.500 (multiplicity 2)
O  0.232  0.000  0.719 (multiplicity 4)
O  0.243  0.330  0.719 (multiplicity 8)

## Properties
As for the uncorrected energy: -6.27 eV per atom. The uncorrected formation energy comes out at -2191 meV/atom.

=====

NaY2TlO: relaxed, PBE.

Cell: 4.787 4.787 4.672 Å, 90.00 90.00 90.00°
Space group P4/mmm (No. 123)
Inequivalent atoms, fractional coordinates:
Na  0.000  0.000  0.000 (multiplicity 1)
Y  0.000  0.500  0.500 (multiplicity 2)
Tl  0.500  0.500  0.000 (multiplicity 1)
O  0.000  0.000  0.500 (multiplicity 1)

## Properties
As for the uncorrected energy: -5.58 eV per atom. The uncorrected formation energy comes out at -1265 meV/atom.

=====

Na2YTlO: relaxed, PBE.

Cell: 4.509 4.509 6.020 Å, 90.00 90.00 90.00°
Space group P4/mmm (No. 123)
Inequivalent atoms, fractional coordinates:
Na  0.000  0.500  0.000 (multiplicity 2)
Y  0.000  0.000  0.500 (multiplicity 1)
Tl  0.500  0.500  0.500 (multiplicity 1)
O  0.500  0.500  0.000 (multiplicity 1)

## Properties
As for the uncorrected energy: -3.63 eV per atom. The uncorrected formation energy comes out at -341 meV/atom.

=====

Na3YTl2O6: relaxed, PBE.

Cell: 5.893 10.209 5.972 Å, 90.00 109.13 90.00°
Space group C2/m (No. 12)
Inequivalent atoms, fractional coordinates:
Na  0.000  0.000  0.000 (multiplicity 2)
Na  0.000  0.327  0.000 (multiplicity 4)
Y  0.000  0.500  0.500 (multiplicity 2)
Tl  0.000  0.166  0.500 (multiplicity 4)
O  0.239  0.335  0.724 (multiplicity 8)
O  0.245  0.000  0.724 (multiplicity 4)

## Properties
As for the uncorrected energy: -5.36 eV per atom. The uncorrected formation energy comes out at -1622 meV/atom.

=====

Na2TlZn2O4: relaxed, PBE.

Cell: 11.333 3.406 8.602 Å, 90.00 125.22 90.00°
Space group C2/m (No. 12)
Inequivalent atoms, fractional coordinates:
Na  0.182  0.000  0.292 (multiplicity 4)
Tl  0.000  0.000  0.500 (multiplicity 2)
Zn  0.136  0.500  0.870 (multiplicity 4)
O  0.064  0.500  0.353 (multiplicity 4)
O  0.237  0.000  0.846 (multiplicity 4)

## Properties
As for the uncorrected energy: -4.19 eV per atom. The uncorrected formation energy comes out at -1148 meV/atom.

=====

NaTl2ZnO4: relaxed, PBE.

Cell: 5.238 5.238 9.694 Å, 90.00 90.00 90.00°
Space group I-42m (No. 121)
Inequivalent atoms, fractional coordinates:
Na  0.000  0.000  0.000 (multiplicity 2)
Tl  0.000  0.500  0.250 (multiplicity 4)
Zn  0.000  0.000  0.500 (multiplicity 2)
O  0.223  0.223  0.618 (multiplicity 8)

## Properties
As for the uncorrected energy: -4.38 eV per atom. The uncorrected formation energy comes out at -989 meV/atom.

=====

Na2ZrTl2O6: relaxed, PBE.

Cell: 5.921 9.934 6.042 Å, 90.00 110.50 90.00°
Space group C2/m (No. 12)
Inequivalent atoms, fractional coordinates:
Na  0.000  0.176  0.000 (multiplicity 4)
Zr  0.000  0.000  0.500 (multiplicity 2)
Tl  0.000  0.335  0.500 (multiplicity 4)
O  0.219  0.161  0.712 (multiplicity 8)
O  0.234  0.000  0.298 (multiplicity 4)

## Properties
As for the uncorrected energy: -5.74 eV per atom. The uncorrected formation energy comes out at -1589 meV/atom.

=====

NaTmO2: relaxed, PBE.

Cell: 3.3422 3.3422 17.4084 Å, 90.00 90.00 120.00°
Space group R3m (No. 160, hexagonal axes)
Inequivalent atoms, fractional coordinates:
Na  0.0000  0.0000  0.0000 (multiplicity 3)
Tm  0.0000  0.0000  0.1731 (multiplicity 3)
O  0.0000  0.0000  0.5752 (multiplicity 3)
O  0.0000  0.0000  0.7734 (multiplicity 3)

## Properties
As for the uncorrected energy: -6.73 eV per atom. The uncorrected formation energy comes out at -2802 meV/atom.

=====

NaTmO2: relaxed, PBE.

Cell: 6.601 13.077 5.874 Å, 90.00 122.58 90.00°
Space group C2/c (No. 15)
Inequivalent atoms, fractional coordinates:
Na  0.000  0.056  0.250 (multiplicity 4)
Na  0.000  0.180  0.750 (multiplicity 4)
Tm  0.000  0.307  0.250 (multiplicity 4)
Tm  0.000  0.433  0.750 (multiplicity 4)
O  0.203  0.436  0.205 (multiplicity 8)
O  0.228  0.312  0.707 (multiplicity 8)

## Properties
As for the uncorrected energy: -6.79 eV per atom. The uncorrected formation energy comes out at -2868 meV/atom.

=====

NaTmO2: relaxed, PBE.

Cell: 4.564 4.564 10.197 Å, 90.00 90.00 90.00°
Space group I4_1/amd (No. 141, origin choice 2)
Inequivalent atoms, fractional coordinates:
Na  0.000  0.250  0.375 (multiplicity 4)
Tm  0.000  0.250  0.875 (multiplicity 4)
O  0.000  0.250  0.096 (multiplicity 8)

## Properties
As for the uncorrected energy: -6.78 eV per atom. The uncorrected formation energy comes out at -2853 meV/atom.

=====

NaTmO2: relaxed, PBE.

Cell: 3.3642 3.3642 16.6784 Å, 90.00 90.00 120.00°
Space group R-3m (No. 166, hexagonal axes)
Inequivalent atoms, fractional coordinates:
Na  0.0000  0.0000  0.0000 (multiplicity 3)
Tm  0.0000  0.0000  0.5000 (multiplicity 3)
O  0.0000  0.0000  0.2362 (multiplicity 6)

## Properties
As for the uncorrected energy: -6.80 eV per atom. The uncorrected formation energy comes out at -2869 meV/atom.

=====

Na3TmO3: relaxed, PBE.

Cell: 6.594 6.945 9.948 Å, 90.00 90.00 90.00°
Space group Imma (No. 74)
Inequivalent atoms, fractional coordinates:
Na  0.000  0.250  0.222 (multiplicity 4)
Na  0.224  0.000  0.000 (multiplicity 8)
Tm  0.000  0.250  0.783 (multiplicity 4)
O  0.000  0.250  0.990 (multiplicity 4)
O  0.250  0.034  0.750 (multiplicity 8)

## Properties
As for the uncorrected energy: -5.40 eV per atom. The uncorrected formation energy comes out at -2068 meV/atom.

=====

NaTm2O: relaxed, PBE.

Cell: 3.4126 3.4126 28.3577 Å, 90.00 90.00 120.00°
Space group R-3m (No. 166, hexagonal axes)
Inequivalent atoms, fractional coordinates:
Na  0.0000  0.0000  0.0000 (multiplicity 3)
Tm  0.0000  0.0000  0.1198 (multiplicity 6)
O  0.0000  0.0000  0.5000 (multiplicity 3)

## Properties
As for the uncorrected energy: -4.95 eV per atom. The uncorrected formation energy comes out at -1146 meV/atom.

=====

Na3Tm3UO8: relaxed, PBE.

Cell: 11.802 6.823 6.879 Å, 90.00 125.01 90.00°
Space group C2/m (No. 12)
Inequivalent atoms, fractional coordinates:
Na  0.000  0.000  0.000 (multiplicity 2)
Na  0.250  0.250  0.000 (multiplicity 4)
Tm  0.000  0.500  0.500 (multiplicity 2)
Tm  0.250  0.250  0.500 (multiplicity 4)
U  0.000  0.000  0.500 (multiplicity 2)
O  0.016  0.246  0.302 (multiplicity 8)
O  0.229  0.000  0.697 (multiplicity 4)
O  0.235  0.500  0.704 (multiplicity 4)

## Properties
As for the uncorrected energy: -7.42 eV per atom. The uncorrected formation energy comes out at -2862 meV/atom.

=====

Na2TmUO5: relaxed, PBE.

Cell: 4.133 4.133 8.554 Å, 90.00 90.00 90.00°
Space group P4/mmm (No. 123)
Inequivalent atoms, fractional coordinates:
Na  0.000  0.000  0.232 (multiplicity 2)
Tm  0.500  0.500  0.500 (multiplicity 1)
U  0.500  0.500  0.000 (multiplicity 1)
O  0.000  0.000  0.500 (multiplicity 1)
O  0.000  0.500  0.000 (multiplicity 2)
O  0.500  0.500  0.254 (multiplicity 2)

## Properties
As for the uncorrected energy: -7.32 eV per atom. The uncorrected formation energy comes out at -2520 meV/atom.

=====

NaTm2UO6: relaxed, PBE.

Cell: 5.7951 5.7951 15.1971 Å, 90.00 90.00 120.00°
Space group R3 (No. 146, hexagonal axes)
Inequivalent atoms, fractional coordinates:
Na  0.0000  0.0000  0.0000 (multiplicity 3)
Tm  0.0000  0.0000  0.2713 (multiplicity 3)
Tm  0.0000  0.0000  0.7810 (multiplicity 3)
U  0.0000  0.0000  0.4802 (multiplicity 3)
O  0.0003  0.3167  0.8738 (multiplicity 9)
O  0.0372  0.7451  0.3847 (multiplicity 9)

## Properties
As for the uncorrected energy: -8.34 eV per atom. The uncorrected formation energy comes out at -3212 meV/atom.

=====

NaTmUO4: relaxed, PBE.

Cell: 6.800 6.988 9.671 Å, 90.00 90.00 90.00°
Space group Imma (No. 74)
Inequivalent atoms, fractional coordinates:
Na  0.000  0.250  0.130 (multiplicity 4)
Tm  0.250  0.250  0.750 (multiplicity 4)
U  0.000  0.000  0.500 (multiplicity 4)
O  0.000  0.038  0.728 (multiplicity 8)
O  0.215  0.250  0.517 (multiplicity 8)

## Properties
As for the uncorrected energy: -8.24 eV per atom. The uncorrected formation energy comes out at -2967 meV/atom.